Compound: SrGa6Cu12
Source: the Alexandria database
Functional: PBE
Structure: relaxed

ΔH_f (0 K), meV/atom: -35

Cell: 6.879 6.879 6.879 Å, 103.49 103.49 103.49°
Fractional positions:
Sr: 0.000 0.000 0.000
Ga: 0.276 0.276 0.692
Ga: 0.276 0.692 0.276
Ga: 0.308 0.724 0.724
Ga: 0.692 0.276 0.276
Ga: 0.724 0.308 0.724
Ga: 0.724 0.724 0.308
Cu: 0.113 0.500 0.887
Cu: 0.113 0.887 0.500
Cu: 0.116 0.395 0.395
Cu: 0.395 0.116 0.395
Cu: 0.395 0.395 0.116
Cu: 0.500 0.113 0.887
Cu: 0.500 0.887 0.113
Cu: 0.605 0.605 0.884
Cu: 0.605 0.884 0.605
Cu: 0.884 0.605 0.605
Cu: 0.887 0.113 0.500
Cu: 0.887 0.500 0.113

---

Compound: LuHfMgTc
Source: the Alexandria database
Functional: PBE
Structure: relaxed

ΔH_f (0 K), meV/atom: -91

Cell: 4.834 4.834 4.834 Å, 60.00 60.00 60.00°
Fractional positions:
Lu: 0.000 0.000 0.000
Hf: 0.500 0.500 0.500
Mg: 0.250 0.250 0.250
Tc: 0.750 0.750 0.750

---

Compound: CaDyHo14
Source: the Alexandria database
Functional: PBE
Structure: relaxed

ΔH_f (0 K), meV/atom: 26

Cell: 11.234 7.233 7.233 Å, 60.00 90.00 90.00°
Fractional positions:
Ca: 0.000 0.000 0.000
Dy: 0.000 0.499 0.499
Ho: 0.000 0.001 0.499
Ho: 0.000 0.499 0.001
Ho: 0.248 0.333 0.333
Ho: 0.254 0.337 0.831
Ho: 0.254 0.831 0.337
Ho: 0.254 0.831 0.831
Ho: 0.500 0.000 0.000
Ho: 0.500 0.000 0.500
Ho: 0.500 0.500 0.000
Ho: 0.500 0.500 0.500
Ho: 0.746 0.337 0.831
Ho: 0.746 0.831 0.337
Ho: 0.746 0.831 0.831
Ho: 0.752 0.333 0.333

---

Compound: Cs2TiBBr6
Source: the Alexandria database
Functional: PBE
Structure: relaxed

Formation energy from raw total energies, meV/atom: -875

Cell: 7.657 7.657 7.657 Å, 60.00 60.00 60.00°
Fractional positions:
Cs: 0.250 0.250 0.250
Cs: 0.750 0.750 0.750
Ti: 0.000 0.000 0.000
B: 0.500 0.500 0.500
Br: 0.242 0.242 0.758
Br: 0.242 0.758 0.242
Br: 0.242 0.758 0.758
Br: 0.758 0.242 0.242
Br: 0.758 0.242 0.758
Br: 0.758 0.758 0.242

---

Compound: HfTaSb2Se
Source: the Alexandria database
Functional: PBE
Structure: relaxed

Formation energy from raw total energies, meV/atom: 943

Cell: 5.317 5.317 4.671 Å, 90.00 90.00 90.00°
Fractional positions:
Hf: 0.000 0.000 0.000
Ta: 0.500 0.500 0.000
Sb: 0.000 0.500 0.500
Sb: 0.500 0.000 0.500
Se: 0.500 0.500 0.500

---

Compound: Pm4B2Cl5
Source: the Alexandria database
Functional: PBE
Structure: relaxed

Formation energy from raw total energies, meV/atom: -1484

Cell: 10.201 10.201 7.915 Å, 104.49 104.49 22.15°
Fractional positions:
Pm: 0.003 0.003 0.216
Pm: 0.336 0.336 0.883
Pm: 0.664 0.664 0.117
Pm: 0.997 0.997 0.784
B: 0.459 0.459 0.975
B: 0.541 0.541 0.025
Cl: 0.162 0.162 0.365
Cl: 0.175 0.175 0.868
Cl: 0.500 0.500 0.500
Cl: 0.825 0.825 0.132
Cl: 0.838 0.838 0.635

---

Compound: Sm2MgC
Source: the Alexandria database
Functional: PBE
Structure: relaxed

ΔH_f (0 K), meV/atom: 6

Cell: 9.921 9.921 9.921 Å, 20.76 20.76 20.76°
Fractional positions:
Sm: 0.119 0.119 0.119
Sm: 0.881 0.881 0.881
Mg: 0.000 0.000 0.000
C: 0.500 0.500 0.500

---

Compound: TmMnW2C4
Source: the Alexandria database
Functional: PBE
Structure: relaxed

ΔH_f (0 K), meV/atom: -66

Cell: 5.596 5.596 10.647 Å, 90.00 90.00 147.09°
Fractional positions:
Tm: 0.110 0.890 0.750
Tm: 0.890 0.110 0.250
Mn: 0.155 0.845 0.250
Mn: 0.845 0.155 0.750
W: 0.372 0.628 0.540
W: 0.372 0.628 0.960
W: 0.628 0.372 0.040
W: 0.628 0.372 0.460
C: 0.000 0.000 0.000
C: 0.000 0.000 0.500
C: 0.265 0.735 0.117
C: 0.265 0.735 0.383
C: 0.435 0.565 0.750
C: 0.565 0.435 0.250
C: 0.735 0.265 0.617
C: 0.735 0.265 0.883

---

For each record above, in turn, the calculated E values are -3.666; -6.700; -4.393; -3.507; -5.764; -5.265; -5.059; -9.621 eV/atom.
For each record above, in turn, the calculated DOS(E_F) values are 6.05; 3.84; 26.19; 11.60; 3.57; 3.45; 2.58; 6.45 states/eV per cell.